[1]
## Pm4Nd4Tm3 (GGA-PBE)

Data for an optimized crystal structure of Pm4Nd4Tm3.

Unit cell a=12.0294 b=12.0294 c=12.0294 alpha=162.52 beta=133.49 gamma=50.05
Element x y z (fractional)
Pm 0.1847 0.0000 0.1847
Pm 0.2380 0.2380 0.0000
Pm 0.7620 0.7620 0.0000
Pm 0.8153 0.0000 0.8153
Nd 0.1822 0.8576 0.3246
Nd 0.4669 0.1424 0.3246
Nd 0.5331 0.8576 0.6754
Nd 0.8178 0.1424 0.6754
Tm 0.1064 0.6064 0.5000
Tm 0.5000 0.5000 0.0000
Tm 0.8936 0.3936 0.5000

Summary:
As for the relative energy among the computed polymorphs: 61.9 meV/atom. The calculation puts the total moment at 0.000 μB/cell. The calculation puts the density of states at the Fermi level at 17.9 states/eV/f.u. The formation energy is 0.119 eV/atom.

***

[2]
## PmNd12Tm3 (GGA-PBE)

Data for an optimized crystal structure of PmNd12Tm3.

Unit cell a=5.1528 b=5.1528 c=20.5580 alpha=90.00 beta=90.00 gamma=90.00
Element x y z (fractional)
Pm 0.0000 0.0000 0.0000
Nd 0.0000 0.5000 0.1271
Nd 0.0000 0.5000 0.3757
Nd 0.0000 0.5000 0.6243
Nd 0.0000 0.5000 0.8729
Nd 0.5000 0.0000 0.1271
Nd 0.5000 0.0000 0.3757
Nd 0.5000 0.0000 0.6243
Nd 0.5000 0.0000 0.8729
Nd 0.5000 0.5000 0.0000
Nd 0.5000 0.5000 0.2520
Nd 0.5000 0.5000 0.5000
Nd 0.5000 0.5000 0.7480
Tm 0.0000 0.0000 0.2516
Tm 0.0000 0.0000 0.5000
Tm 0.0000 0.0000 0.7484

Summary:
The calculation puts the total moment at 0.000 μB/cell. The calculation puts the density of states at the Fermi level at 24.3 states/eV/f.u. The formation energy is 0.014 eV/atom.

***

[3]
## Pm5Nd2Tm (GGA-PBE)

Data for an optimized crystal structure of Pm5Nd2Tm.

Unit cell a=11.7991 b=6.1872 c=15.9985 alpha=90.00 beta=110.76 gamma=90.00
Element x y z (fractional)
Pm 0.0618 0.0277 0.1194
Pm 0.0618 0.4723 0.6194
Pm 0.1923 0.1103 0.3775
Pm 0.1923 0.3897 0.8775
Pm 0.2494 0.6237 0.4992
Pm 0.2494 0.8763 0.9992
Pm 0.3092 0.1082 0.6237
Pm 0.3092 0.3918 0.1237
Pm 0.3731 0.5700 0.7542
Pm 0.3731 0.9300 0.2542
Pm 0.6269 0.0700 0.7458
Pm 0.6269 0.4300 0.2458
Pm 0.6908 0.6082 0.8763
Pm 0.6908 0.8918 0.3763
Pm 0.7506 0.1237 0.0008
Pm 0.7506 0.3763 0.5008
Pm 0.8077 0.6103 0.1225
Pm 0.8077 0.8897 0.6225
Pm 0.9382 0.5277 0.3806
Pm 0.9382 0.9723 0.8806
Nd 0.1239 0.5682 0.2454
Nd 0.1239 0.9318 0.7454
Nd 0.4395 0.0270 0.8796
Nd 0.4395 0.4730 0.3796
Nd 0.5605 0.5270 0.6204
Nd 0.5605 0.9730 0.1204
Nd 0.8761 0.0682 0.2546
Nd 0.8761 0.4318 0.7546
Tm 0.0000 0.0000 0.5000
Tm 0.0000 0.5000 0.0000
Tm 0.5000 0.0000 0.5000
Tm 0.5000 0.5000 0.0000

Summary:
As for the relative energy among the computed polymorphs: 52.4 meV/atom. The calculation puts the total moment at 0.000 μB/cell. The calculation puts the density of states at the Fermi level at 12.2 states/eV/f.u. The formation energy is 0.067 eV/atom.

***

[4]
## Pm2Nd7Tm (GGA-PBE)

Data for an optimized crystal structure of Pm2Nd7Tm.

Unit cell a=9.6213 b=9.6213 c=5.4826 alpha=90.00 beta=90.00 gamma=125.79
Element x y z (fractional)
Pm 0.2055 0.7945 0.0000
Pm 0.7945 0.2055 0.0000
Nd 0.0000 0.0000 0.0000
Nd 0.2104 0.4285 0.0000
Nd 0.2897 0.7103 0.5000
Nd 0.4285 0.2104 0.0000
Nd 0.5715 0.7896 0.0000
Nd 0.7103 0.2897 0.5000
Nd 0.7896 0.5715 0.0000
Tm 0.5000 0.5000 0.5000

Summary:
The calculation puts the total moment at 0.000 μB/cell. The calculation puts the density of states at the Fermi level at 15.6 states/eV/f.u. The formation energy is 0.622 eV/atom.

***

[5]
## Pm4Nd3Tm2 (GGA-PBE)

Data for an optimized crystal structure of Pm4Nd3Tm2.

Unit cell a=6.3516 b=6.3516 c=9.2393 alpha=99.70 beta=99.70 gamma=55.99
Element x y z (fractional)
Pm 0.1691 0.1691 0.4760
Pm 0.2776 0.2776 0.1431
Pm 0.7224 0.7224 0.8569
Pm 0.8309 0.8309 0.5240
Nd 0.3876 0.3876 0.8238
Nd 0.5000 0.5000 0.5000
Nd 0.6124 0.6124 0.1762
Tm 0.0572 0.0572 0.8258
Tm 0.9428 0.9428 0.1742

Summary:
As for the relative energy among the computed polymorphs: 89.3 meV/atom. The calculation puts the total moment at 0.000 μB/cell. The calculation puts the density of states at the Fermi level at 15.2 states/eV/f.u. The formation energy is 0.109 eV/atom.

***

[6]
## PmNd2Tm (GGA-PBE)

Data for an optimized crystal structure of PmNd2Tm.

Unit cell a=11.9594 b=11.9594 c=11.9594 alpha=17.50 beta=17.50 gamma=17.50
Element x y z (fractional)
Pm 0.0000 0.0000 0.0000
Nd 0.5820 0.5820 0.5820
Nd 0.7519 0.7519 0.7519
Tm 0.1672 0.1672 0.1672

Summary:
As for the relative energy among the computed polymorphs: 5.9 meV/atom. The calculation puts the total moment at 0.000 μB/cell. The calculation puts the density of states at the Fermi level at 5.8 states/eV/f.u. The formation energy is 0.021 eV/atom.